No. 1
# TbY2Pt2

A relaxed structure of TbY2Pt2 (PBE-GGA, Alexandria).

Cell and atoms, written as POSCAR:
```
TbY2Pt2
1.0
-1.8833 -3.4287 0.9467
5.6949 -4.0424 -3.3115
3.7719 -0.2099 6.7430
Y Pt Tb
4 4 2
direct
0.5000 0.3392 0.1608
0.5000 0.6608 0.8392
0.5000 0.8392 0.3392
0.5000 0.1608 0.6608
0.0000 0.8612 0.6388
0.0000 0.6388 0.1388
0.0000 0.3612 0.8612
0.0000 0.1388 0.3612
0.0000 0.0000 0.0000
0.0000 0.5000 0.5000
```

Values from the calculation:
Theoretical density = 10.04 Mg/m³
Formation energy = -1.049 eV per atom
Total magnetic moment = 0.000 μB per cell
E = -6.9766 eV per atom

No. 2
# CuAgAs2

A relaxed structure of CuAgAs2 (PBE-GGA, Alexandria).

Cell and atoms, written as POSCAR:
```
CuAgAs2
1.0
4.0428 0.0000 0.0000
0.0000 2.8042 0.0337
0.0000 0.2931 6.3091
Ag As Cu
1 2 1
direct
0.5000 0.7455 0.7198
0.5000 0.2333 0.2883
0.0000 0.2553 0.9649
0.0000 0.2659 0.5270
```

Values from the calculation:
Theoretical density = 7.46 Mg/m³
Formation energy = 0.189 eV per atom
Total magnetic moment = 0.000 μB per cell
E = -3.8726 eV per atom

No. 3
# Cs3PuAg2I8

A relaxed structure of Cs3PuAg2I8 (PBE-GGA, Alexandria).

Cell and atoms, written as POSCAR:
```
Cs3PuAg2I8
1.0
8.5691 0.0000 0.0000
-4.2846 7.4211 0.0000
0.0000 0.0000 11.1153
I Cs Ag Pu
8 3 2 1
direct
0.1646 0.8354 0.3301
0.1646 0.3292 0.3301
0.8354 0.1646 0.6699
0.3292 0.1646 0.6699
0.3333 0.6667 0.9517
0.6708 0.8354 0.3301
0.8354 0.6708 0.6699
0.6667 0.3333 0.0483
0.0000 0.0000 0.0000
0.3333 0.6667 0.6218
0.6667 0.3333 0.3782
0.3333 0.6667 0.1932
0.6667 0.3333 0.8068
0.0000 0.0000 0.5000
```

Values from the calculation:
ΔE_f (raw) = -1.01 eV/atom
Theoretical density = 4.40 Mg/m³
Total magnetic moment = 5.000 μB per cell
E = -3.5067 eV per atom